{"formula": "KSrTeAu", "functional": "PBE", "state": "relaxed", "lattice": [[0.0000, 4.0017, 4.0017], [4.0017, 0.0000, 4.0017], [4.0017, 4.0017, 0.0000]], "species": ["K", "Sr", "Te", "Au"], "frac_coords": [[0.0000, 0.0000, 0.0000], [0.5000, 0.5000, 0.5000], [0.7500, 0.7500, 0.7500], [0.2500, 0.2500, 0.2500]], "sg": "F-43m, No. 216", "raw_formation_energy_mev_per_atom": -947, "total_magnetization_mub_per_fu": 0.00, "dft_energy_ev_per_atom": -3.247}



{"formula": "RbYO2F", "functional": "PBE", "state": "relaxed", "lattice": [[4.4617, 0.0000, 0.0000], [0.0000, 4.4617, 0.0000], [0.0000, 0.0000, 4.5942]], "species": ["Rb", "Y", "O", "O", "F"], "frac_coords": [[0.0000, 0.0000, 0.0000], [0.5000, 0.5000, 0.5000], [0.0000, 0.5000, 0.5000], [0.5000, 0.0000, 0.5000], [0.5000, 0.5000, 0.0000]], "sg": "P4/mmm, No. 123", "raw_formation_energy_mev_per_atom": -2596, "total_magnetization_mub_per_fu": 1.00, "dft_energy_ev_per_atom": -6.440}



{"formula": "YLu2Tl", "functional": "PBE", "state": "relaxed", "lattice": [[1.7587, 1.0154, 10.8894], [-1.7587, 1.0154, 10.8894], [0.0000, -2.0308, 10.8894]], "species": ["Y", "Lu", "Lu", "Tl"], "frac_coords": [[0.0000, 0.0000, 0.0000], [0.2461, 0.2461, 0.2461], [0.7539, 0.7539, 0.7539], [0.5000, 0.5000, 0.5000]], "sg": "R-3m, No. 166", "total_magnetization_mub_per_fu": 0.00, "dft_energy_ev_per_atom": -4.567, "e_form_ev_per_atom": -0.099, "relative_energy_mev_per_atom": 65}



{"formula": "K2LaMo", "functional": "PBE", "state": "relaxed", "lattice": [[3.0543, 0.0000, 0.0000], [0.0000, 3.0543, 0.0000], [0.0000, 0.0000, 13.5198]], "species": ["K", "K", "La", "Mo"], "frac_coords": [[0.0000, 0.0000, 0.2115], [0.0000, 0.0000, 0.7885], [0.5000, 0.5000, 0.5000], [0.5000, 0.5000, 0.0000]], "sg": "P4/mmm, No. 123", "total_magnetization_mub_per_fu": 0.59, "dft_energy_ev_per_atom": -3.212, "e_form_ev_per_atom": 1.276, "relative_energy_mev_per_atom": 561}



{"formula": "Er5Si2C", "functional": "PBE", "state": "relaxed", "lattice": [[2.7350, -5.8970, 0.0000], [2.7350, 5.8970, 0.0000], [0.0000, 0.0000, 12.9020]], "species": ["Er", "Er", "Er", "Er", "Er", "Er", "Er", "Er", "Er", "Er", "Si", "Si", "Si", "Si", "C", "C"], "frac_coords": [[0.0556, 0.9444, 0.6231], [0.0556, 0.9444, 0.8769], [0.2991, 0.7009, 0.2500], [0.3391, 0.6609, 0.6072], [0.3391, 0.6609, 0.8928], [0.6609, 0.3391, 0.1072], [0.6609, 0.3391, 0.3928], [0.7009, 0.2991, 0.7500], [0.9444, 0.0556, 0.1231], [0.9444, 0.0556, 0.3769], [0.1763, 0.8237, 0.0659], [0.1763, 0.8237, 0.4341], [0.8237, 0.1763, 0.5659], [0.8237, 0.1763, 0.9341], [0.2014, 0.7986, 0.7500], [0.7986, 0.2014, 0.2500]], "sg": "Cmcm, No. 63", "raw_formation_energy_mev_per_atom": -234, "total_magnetization_mub_per_fu": 0.37, "dft_energy_ev_per_atom": -5.594}



{"formula": "ZnCdPb2", "functional": "PBE", "state": "relaxed", "lattice": [[1.7468, 1.0085, 9.9473], [-1.7468, 1.0085, 9.9473], [0.0000, -2.0170, 9.9473]], "species": ["Zn", "Cd", "Pb", "Pb"], "frac_coords": [[0.0000, 0.0000, 0.0000], [0.2677, 0.2677, 0.2677], [0.5112, 0.5112, 0.5112], [0.7461, 0.7461, 0.7461]], "sg": "R3m, No. 160", "total_magnetization_mub_per_fu": 0.00, "dft_energy_ev_per_atom": -2.290, "e_form_ev_per_atom": 0.111, "relative_energy_mev_per_atom": 32}



{"formula": "SrNi2Mo", "functional": "PBE", "state": "relaxed", "lattice": [[-1.3923, 2.3834, 5.0794], [1.3923, -2.3834, 5.0794], [1.3923, 2.3834, -5.0794]], "species": ["Sr", "Ni", "Ni", "Mo"], "frac_coords": [[0.0000, 0.0000, 0.0000], [0.2763, 0.7763, 0.5000], [0.4877, 0.4877, 0.0000], [0.7065, 0.2065, 0.5000]], "sg": "Imm2, No. 44", "total_magnetization_mub_per_fu": 0.00, "dft_energy_ev_per_atom": -5.430, "e_form_ev_per_atom": 0.589, "relative_energy_mev_per_atom": 424}



{"formula": "ErAlRe", "functional": "PBE", "state": "relaxed", "lattice": [[0.0000, 4.5484, 4.9348], [2.7331, 0.0000, 4.9348], [2.7331, 4.5484, 0.0000]], "species": ["Er", "Er", "Al", "Al", "Re", "Re"], "frac_coords": [[0.1734, 0.8266, 0.1734], [0.8266, 0.1734, 0.8266], [0.3089, 0.3089, 0.6911], [0.6911, 0.6911, 0.3089], [0.2500, 0.2500, 0.2500], [0.7500, 0.7500, 0.7500]], "sg": "Fmmm, No. 69", "total_magnetization_mub_per_fu": 0.00, "dft_energy_ev_per_atom": -6.900, "e_form_ev_per_atom": 0.018, "relative_energy_mev_per_atom": 405}



{"formula": "TiReSe2", "functional": "PBE", "state": "relaxed", "lattice": [[-2.3448, 2.3448, 7.3062], [2.3448, -2.3448, 7.3062], [2.3448, 2.3448, -7.3062]], "species": ["Ti", "Ti", "Re", "Re", "Se", "Se", "Se", "Se"], "frac_coords": [[0.0000, 0.0000, 0.0000], [0.7500, 0.2500, 0.5000], [0.2500, 0.7500, 0.5000], [0.5000, 0.5000, 0.0000], [0.1354, 0.6250, 0.0104], [0.3750, 0.3854, 0.5104], [0.6146, 0.1250, 0.9896], [0.8750, 0.8646, 0.4896]], "sg": "I-42d, No. 122", "raw_formation_energy_mev_per_atom": 38, "total_magnetization_mub_per_fu": 0.00, "dft_energy_ev_per_atom": -6.790, "relative_energy_mev_per_atom": 106}



{"formula": "Re2TcPt", "functional": "PBE", "state": "relaxed", "lattice": [[4.6059, -1.3809, 0.0000], [4.6059, 1.3809, 0.0000], [-0.8703, 0.0000, 4.7103]], "species": ["Re", "Re", "Tc", "Pt"], "frac_coords": [[0.0000, 0.0000, 0.0000], [0.7458, 0.7458, 0.2396], [0.4897, 0.4897, 0.4713], [0.2462, 0.2462, 0.7380]], "sg": "Cm, No. 8", "total_magnetization_mub_per_fu": 0.00, "dft_energy_ev_per_atom": -10.343, "e_form_ev_per_atom": -0.017, "relative_energy_mev_per_atom": 68}



{"formula": "VHgS2", "functional": "PBE", "state": "relaxed", "lattice": [[3.1771, 0.0000, 0.0000], [-1.5885, 2.7516, 0.0000], [-0.0135, -0.0199, 9.0925]], "species": ["V", "Hg", "S", "S"], "frac_coords": [[0.0000, 0.0000, 0.0000], [0.3354, 0.6696, 0.5001], [0.3320, 0.6655, 0.8388], [0.3347, 0.6679, 0.1612]], "sg": "P1, No. 1", "raw_formation_energy_mev_per_atom": -668, "total_magnetization_mub_per_fu": 0.00, "dft_energy_ev_per_atom": -5.087}



{"formula": "NaBeCr2I", "functional": "PBE", "state": "relaxed", "lattice": [[5.3120, 0.0000, 0.0000], [0.0000, 5.3120, 0.0000], [0.0000, 0.0000, 4.7906]], "species": ["Na", "Be", "Cr", "Cr", "I"], "frac_coords": [[0.0000, 0.0000, 0.0000], [0.0000, 0.0000, 0.5000], [0.0000, 0.5000, 0.0000], [0.5000, 0.0000, 0.0000], [0.5000, 0.5000, 0.5000]], "sg": "P4/mmm, No. 123", "raw_formation_energy_mev_per_atom": 1623, "total_magnetization_mub_per_fu": 10.01, "dft_energy_ev_per_atom": -3.546}



{"formula": "KMo3As", "functional": "PBE", "state": "relaxed", "lattice": [[4.5654, 0.0000, 0.0000], [0.0000, 4.5654, 0.0000], [0.0000, 0.0000, 4.5654]], "species": ["K", "Mo", "Mo", "Mo", "As"], "frac_coords": [[0.0000, 0.0000, 0.0000], [0.0000, 0.0000, 0.5000], [0.0000, 0.5000, 0.0000], [0.5000, 0.0000, 0.0000], [0.5000, 0.5000, 0.5000]], "sg": "Pm-3m, No. 221", "total_magnetization_mub_per_fu": 0.00, "dft_energy_ev_per_atom": -4.532, "e_form_ev_per_atom": 3.116, "relative_energy_mev_per_atom": 1625}



{"formula": "U2SiGe2Ru5", "functional": "PBE", "state": "relaxed", "lattice": [[10.2701, 0.0000, 0.0000], [0.0000, 10.2701, 0.0000], [0.0000, 0.0000, 3.0749]], "species": ["U", "U", "U", "U", "Si", "Si", "Ge", "Ge", "Ge", "Ge", "Ru", "Ru", "Ru", "Ru", "Ru", "Ru", "Ru", "Ru", "Ru", "Ru"], "frac_coords": [[0.1744, 0.3256, 0.0000], [0.3256, 0.8256, 0.0000], [0.6744, 0.1744, 0.0000], [0.8256, 0.6744, 0.0000], [0.0000, 0.0000, 0.0000], [0.5000, 0.5000, 0.0000], [0.1338, 0.6338, 0.0000], [0.3662, 0.1338, 0.0000], [0.6338, 0.8662, 0.0000], [0.8662, 0.3662, 0.0000], [0.0000, 0.5000, 0.5000], [0.0333, 0.8012, 0.5000], [0.1988, 0.0333, 0.5000], [0.3012, 0.5333, 0.5000], [0.4667, 0.3012, 0.5000], [0.5000, 0.0000, 0.5000], [0.5333, 0.6988, 0.5000], [0.6988, 0.4667, 0.5000], [0.8012, 0.9667, 0.5000], [0.9667, 0.1988, 0.5000]], "sg": "P4/mbm, No. 127", "raw_formation_energy_mev_per_atom": -309, "total_magnetization_mub_per_fu": 3.63, "dft_energy_ev_per_atom": -8.670}



{"formula": "Na2NF", "functional": "PBE", "state": "relaxed", "lattice": [[-3.0642, 3.0642, 3.5017], [3.0642, -3.0642, 3.5017], [3.0642, 3.0642, -3.5017]], "species": ["Na", "Na", "Na", "Na", "N", "N", "F", "F"], "frac_coords": [[0.0939, 0.1250, 0.4689], [0.3750, 0.9061, 0.0311], [0.6561, 0.6250, 0.5311], [0.8750, 0.3439, 0.9689], [0.2500, 0.7500, 0.5000], [0.5000, 0.5000, 0.0000], [0.0000, 0.0000, 0.0000], [0.7500, 0.2500, 0.5000]], "sg": "I-42d, No. 122", "raw_formation_energy_mev_per_atom": -583, "total_magnetization_mub_per_fu": 2.00, "dft_energy_ev_per_atom": -3.791, "relative_energy_mev_per_atom": 0}



{"formula": "Tb5Si3C", "functional": "PBE", "state": "relaxed", "lattice": [[8.4947, 0.0000, 0.0000], [-4.2474, 7.3566, 0.0000], [0.0000, 0.0000, 6.4823]], "species": ["Tb", "Tb", "Tb", "Tb", "Tb", "Tb", "Tb", "Tb", "Tb", "Tb", "Si", "Si", "Si", "Si", "Si", "Si", "C", "C"], "frac_coords": [[0.0000, 0.2232, 0.2500], [0.0000, 0.7768, 0.7500], [0.2232, 0.0000, 0.2500], [0.2232, 0.2232, 0.7500], [0.3333, 0.6667, 0.0000], [0.3333, 0.6667, 0.5000], [0.6667, 0.3333, 0.0000], [0.6667, 0.3333, 0.5000], [0.7768, 0.0000, 0.7500], [0.7768, 0.7768, 0.2500], [0.0000, 0.4108, 0.7500], [0.0000, 0.5892, 0.2500], [0.4108, 0.0000, 0.7500], [0.4108, 0.4108, 0.2500], [0.5892, 0.0000, 0.2500], [0.5892, 0.5892, 0.7500], [0.0000, 0.0000, 0.0000], [0.0000, 0.0000, 0.5000]], "sg": "P6_3/mcm, No. 193", "raw_formation_energy_mev_per_atom": -592, "total_magnetization_mub_per_fu": 0.00, "dft_energy_ev_per_atom": -5.997}



{"formula": "La3CuNi8", "functional": "PBE", "state": "relaxed", "lattice": [[2.5336, 1.4628, 8.3658], [-2.5336, 1.4628, 8.3658], [0.0000, -2.9256, 8.3658]], "species": ["La", "La", "La", "Cu", "Ni", "Ni", "Ni", "Ni", "Ni", "Ni", "Ni", "Ni"], "frac_coords": [[0.0000, 0.0000, 0.0000], [0.1295, 0.1295, 0.1295], [0.6109, 0.6109, 0.6109], [0.4895, 0.4895, 0.4895], [0.0568, 0.0568, 0.5606], [0.0568, 0.5606, 0.0568], [0.0673, 0.5604, 0.5604], [0.3097, 0.3097, 0.3097], [0.5604, 0.0673, 0.5604], [0.5604, 0.5604, 0.0673], [0.5606, 0.0568, 0.0568], [0.8109, 0.8109, 0.8109]], "sg": "R3m, No. 160", "total_magnetization_mub_per_fu": 0.00, "dft_energy_ev_per_atom": -5.711, "e_form_ev_per_atom": -0.284}



{"formula": "B2C", "functional": "PBE", "state": "relaxed", "lattice": [[6.6131, -1.2971, 0.0000], [6.6131, 1.2971, 0.0000], [-1.0074, 0.0000, 5.2896]], "species": ["B", "B", "B", "B", "B", "B", "B", "B", "C", "C", "C", "C"], "frac_coords": [[0.0000, 0.0000, 0.0000], [0.0036, 0.0036, 0.3399], [0.1122, 0.1122, 0.5424], [0.4034, 0.4034, 0.3218], [0.4106, 0.4106, 0.8602], [0.6583, 0.6583, 0.1239], [0.6875, 0.6875, 0.7140], [0.7997, 0.7997, 0.5899], [0.1056, 0.1056, 0.1921], [0.3254, 0.3254, 0.0536], [0.3549, 0.3549, 0.5725], [0.7595, 0.7595, 0.0001]], "sg": "Cm, No. 8", "total_magnetization_mub_per_fu": 0.00, "dft_energy_ev_per_atom": -7.104, "e_form_ev_per_atom": 0.422, "relative_energy_mev_per_atom": 237}



{"formula": "Tm5Tl2RuRh2", "functional": "PBE", "state": "relaxed", "lattice": [[11.5934, 0.0000, 0.0000], [0.0000, 11.5934, 0.0000], [0.0000, 0.0000, 3.4478]], "species": ["Tm", "Tm", "Tm", "Tm", "Tm", "Tm", "Tm", "Tm", "Tm", "Tm", "Tl", "Tl", "Tl", "Tl", "Ru", "Ru", "Rh", "Rh", "Rh", "Rh"], "frac_coords": [[0.0000, 0.5000, 0.0000], [0.0658, 0.1936, 0.0000], [0.1936, 0.9342, 0.0000], [0.3064, 0.4342, 0.0000], [0.4342, 0.6936, 0.0000], [0.5000, 0.0000, 0.0000], [0.5658, 0.3064, 0.0000], [0.6936, 0.5658, 0.0000], [0.8064, 0.0658, 0.0000], [0.9342, 0.8064, 0.0000], [0.1768, 0.6768, 0.5000], [0.3232, 0.1768, 0.5000], [0.6768, 0.8232, 0.5000], [0.8232, 0.3232, 0.5000], [0.0000, 0.0000, 0.5000], [0.5000, 0.5000, 0.5000], [0.1339, 0.3661, 0.5000], [0.3661, 0.8661, 0.5000], [0.6339, 0.1339, 0.5000], [0.8661, 0.6339, 0.5000]], "sg": "P4/mbm, No. 127", "total_magnetization_mub_per_fu": 0.00, "dft_energy_ev_per_atom": -5.646, "e_form_ev_per_atom": -0.539}



{"formula": "Rb2AlIrCl6", "functional": "PBE", "state": "relaxed", "lattice": [[-3.5561, 3.5561, 5.0107], [3.5561, -3.5561, 5.0107], [3.5561, 3.5561, -5.0107]], "species": ["Rb", "Rb", "Al", "Ir", "Cl", "Cl", "Cl", "Cl", "Cl", "Cl"], "frac_coords": [[0.2500, 0.7500, 0.5000], [0.7500, 0.2500, 0.5000], [0.0000, 0.0000, 0.0000], [0.5000, 0.5000, 0.0000], [0.2537, 0.2537, 0.0000], [0.2565, 0.2565, 0.5131], [0.2565, 0.7435, 0.0000], [0.7435, 0.2565, 0.0000], [0.7435, 0.7435, 0.4869], [0.7463, 0.7463, 0.0000]], "sg": "I4/mmm, No. 139", "raw_formation_energy_mev_per_atom": -1104, "total_magnetization_mub_per_fu": 0.00, "dft_energy_ev_per_atom": -3.666}



{"formula": "Ac2Pd", "functional": "PBE", "state": "relaxed", "lattice": [[2.7337, -2.7327, 0.0000], [2.7337, 2.7327, 0.0000], [-2.7014, 0.0000, 6.8355]], "species": ["Ac", "Ac", "Pd"], "frac_coords": [[0.1345, 0.1345, 0.2654], [0.8655, 0.8655, 0.7346], [0.5000, 0.5000, 0.0000]], "sg": "C2/m, No. 12", "total_magnetization_mub_per_fu": 0.00, "dft_energy_ev_per_atom": -4.911, "e_form_ev_per_atom": -0.441, "relative_energy_mev_per_atom": 36}



{"formula": "Ag2Au", "functional": "PBE", "state": "relaxed", "lattice": [[4.6966, 0.0000, 0.0000], [0.0000, 4.6966, 0.0000], [0.0000, 0.0000, 3.0038]], "species": ["Ag", "Ag", "Au"], "frac_coords": [[0.0000, 0.5000, 0.0000], [0.5000, 0.0000, 0.0000], [0.0000, 0.0000, 0.5000]], "sg": "P4/mmm, No. 123", "total_magnetization_mub_per_fu": 0.00, "dft_energy_ev_per_atom": -2.846, "e_form_ev_per_atom": 0.147, "relative_energy_mev_per_atom": 185}



{"formula": "KCo2MoP", "functional": "PBE", "state": "relaxed", "lattice": [[4.2163, 0.0000, 0.0000], [0.0000, 4.2163, 0.0000], [0.0000, 0.0000, 5.3647]], "species": ["K", "Co", "Co", "Mo", "P"], "frac_coords": [[0.0000, 0.0000, 0.0000], [0.0000, 0.5000, 0.0000], [0.5000, 0.0000, 0.0000], [0.0000, 0.0000, 0.5000], [0.5000, 0.5000, 0.5000]], "sg": "P4/mmm, No. 123", "total_magnetization_mub_per_fu": 5.86, "dft_energy_ev_per_atom": -3.575, "e_form_ev_per_atom": 2.735}



{"formula": "TbMnFeC2", "functional": "PBE", "state": "relaxed", "lattice": [[-1.7448, 1.7448, 4.8016], [1.7448, -1.7448, 4.8016], [1.7448, 1.7448, -4.8016]], "species": ["Tb", "Mn", "Fe", "C", "C"], "frac_coords": [[0.0000, 0.0000, 0.0000], [0.2500, 0.7500, 0.5000], [0.7500, 0.2500, 0.5000], [0.3385, 0.3385, 0.0000], [0.6615, 0.6615, 0.0000]], "sg": "I-4m2, No. 119", "total_magnetization_mub_per_fu": 0.86, "dft_energy_ev_per_atom": -8.343, "e_form_ev_per_atom": -0.201}



{"formula": "SrScIn", "functional": "PBE", "state": "relaxed", "lattice": [[2.5397, 1.4663, 8.6793], [-2.5397, 1.4663, 8.6793], [0.0000, -2.9326, 8.6793]], "species": ["Sr", "Sr", "Sc", "Sc", "In", "In"], "frac_coords": [[0.2152, 0.2152, 0.2152], [0.7848, 0.7848, 0.7848], [0.3592, 0.3592, 0.3592], [0.6408, 0.6408, 0.6408], [0.0567, 0.0567, 0.0567], [0.9433, 0.9433, 0.9433]], "sg": "R-3m, No. 166", "total_magnetization_mub_per_fu": 0.00, "dft_energy_ev_per_atom": -3.784, "e_form_ev_per_atom": -0.200, "relative_energy_mev_per_atom": 115}